(1)
Computed, not measured: a relaxed structure of KLiSi2 at the GGA-PBE level of DFT.

```
KLiSi2
1.0
3.381 0.000 0.000
0.000 3.381 0.000
0.000 0.000 7.358
K Li Si
1 1 2
direct
0.000 0.000 0.000 K
0.000 0.000 0.500 Li
0.500 0.500 0.338 Si
0.500 0.500 0.662 Si
```

Energy relative to the elements, uncorrected: 0.55 eV/f.u.
Polymorph energy (0 for the lowest one): 125 meV per atom
Symmetry: P4/mmm
DFT total energy: -3.3267 eV per atom


(2)
Computed, not measured: a relaxed structure of CuSnPdI2 at the GGA-PBE level of DFT.

```
CuSnPdI2
1.0
5.472 0.000 0.000
0.000 5.472 0.000
0.000 0.000 4.960
Cu Sn Pd I
1 1 1 2
direct
0.000 0.000 0.000 Cu
0.000 0.000 0.500 Sn
0.500 0.500 0.500 Pd
0.000 0.500 0.000 I
0.500 0.000 0.000 I
```

Energy relative to the elements, uncorrected: 2.50 eV/f.u.
Symmetry: P4/mmm
DFT total energy: -2.7778 eV per atom


(3)
Computed, not measured: a relaxed structure of K2RbLuCl6 at the GGA-PBE level of DFT.

```
K2RbLuCl6
1.0
0.000 5.667 5.667
5.667 0.000 5.667
5.667 5.667 0.000
K Rb Lu Cl
2 1 1 6
direct
0.250 0.250 0.250 K
0.750 0.750 0.750 K
0.000 0.000 0.000 Rb
0.500 0.500 0.500 Lu
0.273 0.273 0.727 Cl
0.273 0.727 0.273 Cl
0.273 0.727 0.727 Cl
0.727 0.273 0.273 Cl
0.727 0.273 0.727 Cl
0.727 0.727 0.273 Cl
```

Energy relative to the elements, uncorrected: -20.44 eV/f.u.
Symmetry: Fm-3m
DFT total energy: -3.9204 eV per atom


(4)
Computed, not measured: a relaxed structure of KCdOs2 at the GGA-PBE level of DFT.

```
KCdOs2
1.0
2.779 0.000 0.000
0.000 3.852 0.000
0.000 0.000 8.393
K Cd Os
1 1 2
direct
0.000 0.000 0.000 K
0.500 0.500 0.661 Cd
0.000 0.000 0.427 Os
0.500 0.500 0.313 Os
```

ΔH_f (0 K): 0.54 eV per atom
Symmetry: Pmm2
DFT total energy: -5.5795 eV per atom


(5)
Computed, not measured: a relaxed structure of YMgMn at the GGA-PBE level of DFT.

```
YMgMn
1.0
0.000 3.496 3.496
3.496 0.000 3.496
3.496 3.496 0.000
Y Mg Mn
1 1 1
direct
0.000 0.000 0.000 Y
0.250 0.250 0.250 Mg
0.750 0.750 0.750 Mn
```

ΔH_f (0 K): 0.88 eV per atom
Symmetry: F-43m
DFT total energy: -4.8618 eV per atom


(6)
Computed, not measured: a relaxed structure of ZrTi2In2 at the GGA-PBE level of DFT.

```
ZrTi2In2
1.0
-1.970 1.970 6.801
1.970 -1.970 6.801
1.970 1.970 -6.801
Zr Ti In
1 2 2
direct
0.000 0.000 0.000 Zr
0.250 0.750 0.500 Ti
0.750 0.250 0.500 Ti
0.399 0.399 0.000 In
0.601 0.601 0.000 In
```

ΔH_f (0 K): 0.01 eV per atom
Polymorph energy (0 for the lowest one): 59 meV per atom
Symmetry: I4/mmm
DFT total energy: -5.9543 eV per atom


(7)
Computed, not measured: a relaxed structure of KTaIn at the GGA-PBE level of DFT.

```
KTaIn
1.0
-1.468 2.325 6.582
1.468 -2.325 6.582
1.468 2.325 -6.582
K Ta In
1 1 1
direct
0.000 0.000 0.000 K
0.718 0.718 0.000 Ta
0.289 0.289 0.000 In
```

ΔH_f (0 K): 0.77 eV per atom
Polymorph energy (0 for the lowest one): 82 meV per atom
Symmetry: Imm2
DFT total energy: -4.4632 eV per atom


(8)
Computed, not measured: a relaxed structure of SrO at the GGA-PBE level of DFT.

```
SrO
1.0
-3.835 3.835 3.835
3.835 -3.835 3.835
3.835 3.835 -3.835
Sr O
4 4
direct
0.000 0.000 0.324 Sr
0.000 0.324 0.000 Sr
0.324 0.000 0.000 Sr
0.676 0.676 0.676 Sr
0.000 0.000 0.686 O
0.000 0.686 0.000 O
0.314 0.314 0.314 O
0.686 0.000 0.000 O
```

Energy relative to the elements, uncorrected: -5.02 eV/f.u.
Symmetry: I-43m
DFT total energy: -5.8298 eV per atom


> What is the formula in the seventh record?

KTaIn


> Which formula does entry 4 have?

KCdOs2


> DFT total energy of number 4 (KCdOs2)?

-5.5795 eV per atom


> What is the DFT total energy in the seventh record?

-4.4632 eV per atom